(1)
A plane-wave DFT calculation with PBE was carried out for a geometry-optimized Sm3Dy2Al3 structure.

Results
The final energy comes out at -4.6044 eV per atom. For the formation energy, the calculation gives -0.2808 eV per atom. The value obtained for the distance to the lowest polymorph of the same formula is 0.000 eV/atom. As for the space-group type: Immm (71). As for the magnetic moment: 0.0 Bohr magnetons per cell.

Cell: 3.718 5.247 11.393 Å, 103.31 99.39 90.00°
Element x y z (fractional)
Al (0.882, 0.882, 0.763)
Al (0.000, 0.500, 0.000)
Al (0.118, 0.118, 0.237)
Dy (0.730, 0.230, 0.460)
Dy (0.270, 0.770, 0.540)
Sm (0.620, 0.620, 0.240)
Sm (0.380, 0.380, 0.760)
Sm (0.500, 0.000, 0.000)

=====

(2)
A plane-wave DFT calculation with PBE was carried out for a geometry-optimized Sm2Dy6Al structure.

Results
The final energy comes out at -4.5014 eV per atom. For the formation energy, the calculation gives 0.0312 eV per atom. As for the space-group type: Immm (71). As for the magnetic moment: 0.0 Bohr magnetons per cell.

Cell: 3.496 10.159 9.474 Å, 122.42 100.61 90.00°
Element x y z (fractional)
Dy (0.500, 0.721, 0.000)
Dy (0.823, 0.664, 0.645)
Dy (0.500, 0.279, 0.000)
Dy (0.823, 0.981, 0.645)
Dy (0.177, 0.336, 0.355)
Dy (0.177, 0.019, 0.355)
Sm (0.853, 0.353, 0.706)
Sm (0.147, 0.647, 0.294)
Al (0.000, 0.000, 0.000)

=====

(3)
A plane-wave DFT calculation with PBE was carried out for a geometry-optimized SmDy6Al2 structure.

Results
The final energy comes out at -3.9237 eV per atom. For the formation energy, the calculation gives 0.5004 eV per atom. The value obtained for the distance to the lowest polymorph of the same formula is 0.662 eV/atom. As for the space-group type: I-42m (121). As for the magnetic moment: 0.0 Bohr magnetons per cell.

Cell: 4.769 4.769 14.248 Å, 99.63 99.63 90.00°
Element x y z (fractional)
Dy (0.250, 0.750, 0.500)
Dy (0.149, 0.149, 0.793)
Dy (0.355, 0.851, 0.207)
Dy (0.851, 0.355, 0.207)
Dy (0.750, 0.250, 0.500)
Dy (0.645, 0.645, 0.793)
Sm (0.500, 0.500, 0.000)
Al (0.814, 0.814, 0.629)
Al (0.186, 0.186, 0.371)

=====

(4)
A plane-wave DFT calculation with PBE was carried out for a geometry-optimized Sm8Dy2Al structure.

Results
The final energy comes out at -4.5827 eV per atom. For the formation energy, the calculation gives 0.0264 eV per atom. As for the space-group type: C2/m (12). As for the magnetic moment: 0.0 Bohr magnetons per cell.

Cell: 5.504 7.558 9.840 Å, 112.53 106.24 90.00°
Element x y z (fractional)
Dy (0.807, 0.308, 0.614)
Dy (0.193, 0.692, 0.386)
Sm (0.633, 0.866, 0.266)
Sm (0.000, 0.751, 0.000)
Sm (0.180, 0.181, 0.360)
Sm (0.820, 0.819, 0.640)
Sm (0.367, 0.134, 0.734)
Sm (0.367, 0.599, 0.735)
Sm (0.633, 0.401, 0.265)
Sm (0.000, 0.249, 0.000)
Al (0.500, 0.000, 0.000)

=====

(5)
A plane-wave DFT calculation with PBE was carried out for a geometry-optimized SmDy6Al2 structure.

Results
The final energy comes out at -4.5855 eV per atom. For the formation energy, the calculation gives -0.1614 eV per atom. The value obtained for the distance to the lowest polymorph of the same formula is 0.000 eV/atom. As for the space-group type: C2/m (12). As for the magnetic moment: 0.0 Bohr magnetons per cell.

Cell: 3.687 6.537 11.566 Å, 75.36 80.83 73.62°
Element x y z (fractional)
Al (0.351, 0.088, 0.210)
Al (0.649, 0.912, 0.790)
Dy (0.980, 0.708, 0.332)
Dy (0.020, 0.292, 0.668)
Dy (0.311, 0.792, 0.586)
Dy (0.689, 0.496, 0.125)
Dy (0.689, 0.208, 0.414)
Dy (0.311, 0.504, 0.875)
Sm (0.000, 0.000, 0.000)

=====

(6)
A plane-wave DFT calculation with PBE was carried out for a geometry-optimized SmDy3Al8 structure.

Results
The final energy comes out at -4.5539 eV per atom. For the formation energy, the calculation gives -0.5151 eV per atom. The value obtained for the distance to the lowest polymorph of the same formula is 0.000 eV/atom. As for the space-group type: R3m (160). As for the magnetic moment: 0.0 Bohr magnetons per cell.

Cell: 5.573 5.573 9.694 Å, 73.30 73.30 60.00°
Element x y z (fractional)
Al (0.938, 0.438, 0.186)
Al (0.688, 0.688, 0.937)
Al (0.937, 0.437, 0.689)
Al (0.437, 0.937, 0.689)
Al (0.438, 0.938, 0.186)
Al (0.438, 0.438, 0.186)
Al (0.937, 0.937, 0.689)
Al (0.187, 0.187, 0.438)
Dy (0.000, 0.000, 0.000)
Dy (0.500, 0.500, 0.501)
Dy (0.375, 0.375, 0.874)
Sm (0.875, 0.875, 0.375)